# 1
SrCu2Te, PBEsol geometry, DFT SCAN; energy relative to the elements, uncorrected = -0.4282 eV/atom
1.0
-2.207 3.410 -1.264
-2.352 -0.210 3.539
5.722 1.546 1.340
Cu Te Sr
2 1 1
direct
0.049 0.175 0.099 Cu
0.826 0.951 0.651 Cu
0.187 0.812 0.375 Te
0.438 0.562 0.875 Sr

---

# 2
SrTlCu2, PBEsol geometry, DFT SCAN; E_form = 86.9 kJ/mol of formula units
1.0
4.912 0.000 0.000
2.456 4.254 0.000
2.456 1.418 4.011
Sr Tl Cu
1 1 2
direct
0.500 0.500 0.500 Sr
0.250 0.250 0.250 Tl
0.750 0.750 0.750 Cu
0.000 0.000 0.000 Cu

---

# 3
SrTlCu2, PBEsol geometry, DFT SCAN; E_form = 81.6 kJ/mol of formula units
1.0
-2.963 2.436 -0.297
-2.055 -2.878 -3.102
-2.186 -2.230 3.518
Cu Sr Tl
2 1 1
direct
0.000 0.500 0.000 Cu
0.000 0.000 0.500 Cu
0.500 0.500 0.500 Sr
0.500 0.000 0.000 Tl

---

# 4
SrTl2Cu2, PBEsol geometry, DFT SCAN; E_form = -51.7 kJ/mol of formula units
1.0
-2.197 1.589 -3.881
-3.925 -2.322 1.272
1.455 4.510 3.910
Cu Tl Sr
2 2 1
direct
0.250 0.750 0.500 Cu
0.750 0.250 0.500 Cu
0.357 0.357 0.715 Tl
0.643 0.643 0.285 Tl
0.000 0.000 0.000 Sr

---

# 5
SrTlCu, PBEsol geometry, DFT SCAN; E_form = -80.4 kJ/mol of formula units
1.0
-3.465 1.906 1.178
-1.346 -3.839 2.253
2.523 3.225 2.204
Sr Cu Tl
1 1 1
direct
0.000 0.333 0.667 Sr
0.500 0.000 0.000 Cu
0.500 0.667 0.333 Tl

---

# 6
SrTlCu2, PBEsol geometry, DFT SCAN; E_form = 59.0 kJ/mol of formula units
1.0
-3.593 -0.095 0.010
0.067 -2.237 2.822
-0.126 5.202 4.128
Cu Sr Tl
2 1 1
direct
0.000 0.000 0.805 Cu
0.000 0.000 0.195 Cu
0.500 0.500 0.500 Sr
0.500 0.500 0.000 Tl